No. 1
A plane-wave DFT calculation with GGA-PBE was carried out for crystalline LaAgIr2 at its relaxed geometry.

The total energy comes out at -6.368 eV/atom. The calculation puts the total moment at 0.0 μB/f.u. As for the energy above the most stable polymorph in this dataset: 35.9 kJ/mol of formula units. The calculation puts the formation energy at 0.01 eV/atom.

The space group is I4/mmm (No. 139) and the conventional cell measures 4.291, 4.291 and 8.319 Å, with angles of 90.00, 90.00 and 90.00 degrees. The distinct sites, in fractional coordinates, are La at (0.000, 0.000, 0.000), Ag at (0.000, 0.000, 0.500) and Ir at (0.000, 0.500, 0.250).

No. 2
A plane-wave DFT calculation with GGA-PBE was carried out for crystalline PmEuAsH at its relaxed geometry.

The total energy comes out at -6.433 eV/atom. The calculation puts the total moment at 7.7 μB/f.u.

The space group is F-43m (No. 216) and the conventional cell measures 7.035, 7.035 and 7.035 Å, with angles of 90.00, 90.00 and 90.00 degrees. The distinct sites, in fractional coordinates, are Pm at (0.000, 0.000, 0.000), Eu at (0.000, 0.000, 0.500), As at (0.250, 0.250, 0.750) and H at (0.250, 0.250, 0.250).

No. 3
A plane-wave DFT calculation with GGA-PBE was carried out for crystalline LaBeSe2 at its relaxed geometry.

The total energy comes out at -4.188 eV/atom. The calculation puts the total moment at 0.0 μB/f.u. The calculation puts the uncorrected formation energy at -0.283 eV/atom.

The space group is F-43m (No. 216) and the conventional cell measures 7.101, 7.101 and 7.101 Å, with angles of 90.00, 90.00 and 90.00 degrees. The distinct sites, in fractional coordinates, are La at (0.000, 0.000, 0.000), Be at (0.250, 0.250, 0.250), Se at (0.000, 0.000, 0.500) and Se at (0.250, 0.250, 0.750).

No. 4
A plane-wave DFT calculation with GGA-PBE was carried out for crystalline GdErBeAg at its relaxed geometry.

The total energy comes out at -6.360 eV/atom. The calculation puts the total moment at 7.1 μB/f.u. The calculation puts the formation energy at -0.05 eV/atom.

The space group is F-43m (No. 216) and the conventional cell measures 7.099, 7.099 and 7.099 Å, with angles of 90.00, 90.00 and 90.00 degrees. The distinct sites, in fractional coordinates, are Gd at (0.000, 0.000, 0.000), Er at (0.000, 0.000, 0.500), Be at (0.250, 0.250, 0.750) and Ag at (0.250, 0.250, 0.250).

No. 5
A plane-wave DFT calculation with GGA-PBE was carried out for crystalline ErZrCdPd at its relaxed geometry.

The total energy comes out at -5.155 eV/atom. The calculation puts the total moment at 0.3 μB/f.u. The calculation puts the formation energy at -0.35 eV/atom.

The space group is F-43m (No. 216) and the conventional cell measures 7.030, 7.030 and 7.030 Å, with angles of 90.00, 90.00 and 90.00 degrees. The distinct sites, in fractional coordinates, are Er at (0.000, 0.000, 0.000), Zr at (0.000, 0.000, 0.500), Cd at (0.250, 0.250, 0.750) and Pd at (0.250, 0.250, 0.250).

No. 6
A plane-wave DFT calculation with GGA-PBE was carried out for crystalline CaHf3Tl at its relaxed geometry.

The total energy comes out at -5.700 eV/atom. The calculation puts the total moment at 0.0 μB/f.u. As for the energy above the most stable polymorph in this dataset: 0.0 kJ/mol of formula units. The calculation puts the formation energy at 1.15 eV/atom.

The space group is Pm-3m (No. 221) and the conventional cell measures 5.396, 5.396 and 5.396 Å, with angles of 90.00, 90.00 and 90.00 degrees. The distinct sites, in fractional coordinates, are Ca at (0.000, 0.000, 0.000), Hf at (0.000, 0.500, 0.500) and Tl at (0.500, 0.500, 0.500).

- The highest total moment belongs to which entry?
  PmEuAsH